Entry 1:
A plane-wave DFT calculation with GGA+U was carried out for a geometry-optimized CaNd2CoO5 structure.

abc: 5.6309 6.6684 6.6684
angles: 90.00 90.00 90.00
Last column: magnetic moment on the atom in μB.
Fractional positions:
1 Nd 0.5000 0.3280 0.8280  0.00
2 Nd 0.5000 0.6720 0.1720  0.00
3 Nd 0.5000 0.1720 0.3280  0.00
4 Nd 0.5000 0.8280 0.6720  0.00
5 O 0.7670 0.8588 0.3588  0.00
6 O 0.2330 0.1412 0.6412  0.00
7 O 0.7670 0.6412 0.8588  0.00
8 O 0.7670 0.3588 0.1412  0.00
9 O 0.7670 0.1412 0.6412  0.00
10 O 0.2330 0.3588 0.1412  0.00
11 O 0.2330 0.8588 0.3588  0.00
12 O 0.5000 0.0000 0.0000  0.01
13 O 0.2330 0.6412 0.8588  0.00
14 O 0.5000 0.5000 0.5000  0.01
15 Ca 0.0000 0.0000 0.0000  -0.01
16 Ca 0.0000 0.5000 0.5000  -0.01
17 Co 0.0000 0.0000 0.5000  1.01
18 Co 0.0000 0.5000 0.0000  1.01

- final energy (Ha/atom) = -0.2637
- space group = P4/mbm (127)
- M_tot (μB per cell) = 2.00

Entry 2:
A plane-wave DFT calculation with GGA+U was carried out for a geometry-optimized CaNdCoO4 structure.

abc: 6.6587 6.6587 6.6587
angles: 147.05 147.05 47.29
Last column: magnetic moment on the atom in μB.
Fractional positions:
1 Nd 0.3586 0.3586 0.0000  0.01
2 O 0.4964 0.9964 0.5000  0.02
3 O 0.9964 0.4964 0.5000  0.02
4 O 0.8305 0.8305 0.0000  -0.04
5 O 0.1714 0.1714 0.0000  -0.04
6 Co 0.0051 0.0051 0.0000  2.03
7 Ca 0.6417 0.6417 0.0000  0.00

- final energy (Ha/atom) = -0.2532
- space group = I4mm (107)
- M_tot (μB per cell) = 2.00

Entry 3:
A plane-wave DFT calculation with GGA+U was carried out for a geometry-optimized CaNdCoO4 structure.

abc: 6.6907 6.6907 5.3264
angles: 90.00 90.00 133.20
Last column: magnetic moment on the atom in μB.
Fractional positions:
1 Co 0.2511 0.7489 0.2500  2.03
2 Co 0.7489 0.2511 0.7500  2.03
3 Nd 0.1109 0.8891 0.7500  0.01
4 Nd 0.8891 0.1109 0.2500  0.01
5 O 0.4189 0.5811 0.2500  -0.04
6 O 0.0000 0.5000 0.5000  0.00
7 O 0.5000 0.0000 0.5000  0.00
8 O 0.5811 0.4189 0.7500  -0.04
9 O 0.0771 0.9229 0.2500  -0.02
10 O 0.0000 0.5000 0.0000  0.00
11 O 0.5000 0.0000 0.0000  0.00
12 O 0.9229 0.0771 0.7500  -0.02
13 Ca 0.3948 0.6052 0.7500  0.00
14 Ca 0.6052 0.3948 0.2500  0.00

- final energy (Ha/atom) = -0.2530
- space group = Cmcm (63)
- M_tot (μB per cell) = 4.00